Here is a relaxed NaInBi2 crystal from the Alexandria database. Energies are from PBEsol.

Values from the calculation:
As for the energy of formation: -0.102 eV per atom. Its space group is I-42d (122). The total energy is -3.34 eV/atom.

a = 6.5396 Å, b = 6.9303 Å, c = 6.9303 Å
α = 77.14°, β = 61.85°, γ = 61.85°
Sites, in units of the cell vectors:
1 In 0.0000 0.0000 0.0000
2 Bi 0.8750 0.4639 0.0361
3 Bi 0.6611 0.9639 0.4639
4 Bi 0.3750 0.5361 0.9639
5 Bi 0.0889 0.0361 0.5361
6 Na 0.2500 0.5000 0.5000
7 In 0.7500 0.5000 0.5000
8 Na 0.5000 0.0000 0.0000